Crystalline SrEr2Cd at its relaxed geometry. Source: Alexandria, functional PBE.

energy above the most stable polymorph in this dataset: 0 meV/atom
formation enthalpy at 0 K: -0.051 eV per formula unit

abc: 3.7540 3.7540 9.4578
angles: 90.00 90.00 90.00
Fractional positions:
Er  0.0000  0.0000  0.8123
Er  0.0000  0.0000  0.1877
Cd  0.5000  0.5000  0.0000
Sr  0.5000  0.5000  0.5000